VASP calculation (PBE) on Y5PdRu4 after structural relaxation.

a = 3.440 Å, b = 3.440 Å, c = 17.073 Å
α = 90.00°, β = 90.00°, γ = 90.00°
Space group P4/mmm (No. 123)
Unique sites:
Y  0.000  0.000  0.000 x1
Y  0.000  0.000  0.198 x2
Y  0.000  0.000  0.394 x2
Pd  0.500  0.500  0.500 x1
Ru  0.500  0.500  0.099 x2
Ru  0.500  0.500  0.301 x2

Computed properties:
The calculation puts the total moment at 0.00 μB/f.u. As for the energy of formation: -0.43 eV per atom. The value obtained for the uncorrected energy is -79.0 eV for the cell shown.


VASP calculation (PBE) on LiSm6Tl5 after structural relaxation.

a = 5.449 Å, b = 16.445 Å, c = 7.643 Å
α = 90.00°, β = 90.00°, γ = 90.00°
Space group Cmmm (No. 65)
Unique sites:
Li  0.000  0.000  0.000 x2
Sm  0.000  0.168  0.246 x8
Sm  0.000  0.500  0.253 x4
Tl  0.000  0.000  0.500 x2
Tl  0.000  0.334  0.500 x4
Tl  0.000  0.344  0.000 x4

Computed properties:
The calculation puts the total moment at 0.00 μB/f.u. As for the energy of formation: -0.33 eV per atom. The value obtained for the uncorrected energy is -92.0 eV for the cell shown. For the excess energy over the best structure of this formula in the dataset, the calculation gives 0.00 eV per formula unit.


VASP calculation (PBE) on Li2SiCl after structural relaxation.

a = 3.072 Å, b = 3.072 Å, c = 7.817 Å
α = 90.00°, β = 90.00°, γ = 90.00°
Space group P4mm (No. 99)
Unique sites:
Li  0.000  0.000  0.000 x1
Li  0.500  0.500  0.419 x1
Si  0.000  0.000  0.648 x1
Cl  0.500  0.500  0.123 x1

Computed properties:
The calculation puts the total moment at 0.00 μB/f.u. The value obtained for the uncorrected energy is -13.6 eV for the cell shown. For the excess energy over the best structure of this formula in the dataset, the calculation gives 0.12 eV per formula unit. The uncorrected formation energy is -0.63 eV/atom.


VASP calculation (PBE) on SrURhO6 after structural relaxation.

a = 5.4204 Å, b = 5.4204 Å, c = 10.9533 Å
α = 90.00°, β = 90.00°, γ = 120.00°
Space group P-31c (No. 163)
Unique sites:
Sr  0.0000  0.0000  0.0000 x2
U  0.3333  0.6667  0.2500 x2
Rh  0.3333  0.6667  0.7500 x2
O  0.0088  0.3679  0.6477 x12

Computed properties:
The calculation puts the total moment at 1.02 μB/f.u. The value obtained for the uncorrected energy is -141.9 eV for the cell shown. The uncorrected formation energy is -2.32 eV/atom.


VASP calculation (PBE) on MnNb2Hg2S6 after structural relaxation.

a = 5.786 Å, b = 10.012 Å, c = 9.504 Å
α = 90.00°, β = 103.28°, γ = 90.00°
Space group C2/m (No. 12)
Unique sites:
Mn  0.000  0.000  0.000 x2
Nb  0.000  0.333  0.000 x4
Hg  0.000  0.173  0.500 x4
S  0.219  0.158  0.162 x8
S  0.245  0.500  0.161 x4

Computed properties:
The calculation puts the total moment at 1.18 μB/f.u. The value obtained for the uncorrected energy is -123.8 eV for the cell shown. The uncorrected formation energy is -0.65 eV/atom.


VASP calculation (PBE) on PaIrPdAu after structural relaxation.

a = 6.711 Å, b = 6.711 Å, c = 6.711 Å
α = 90.00°, β = 90.00°, γ = 90.00°
Space group F-43m (No. 216)
Unique sites:
Pa  0.000  0.000  0.000 x4
Ir  0.250  0.250  0.250 x4
Pd  0.250  0.250  0.750 x4
Au  0.000  0.000  0.500 x4

Computed properties:
The calculation puts the total moment at 0.00 μB/f.u. As for the energy of formation: -0.49 eV per atom. The value obtained for the uncorrected energy is -115.2 eV for the cell shown.


Number 1: Fermi-level density of states 0.71 states/eV per atom. Number 2: Fermi-level density of states 1.01 states/eV per atom. Number 3: Fermi-level density of states 0.18 states/eV per atom. Number 4: Fermi-level density of states 0.63 states/eV per atom. Number 5: Fermi-level density of states 0.47 states/eV per atom. Number 6: Fermi-level density of states 0.88 states/eV per atom.